Computed, not measured: crystalline KBaOs2 at its relaxed geometry at the PBE-GGA level of DFT.

a b c (Å): 4.179 4.179 9.765
angles (deg): 78.69 78.69 59.99
Positions (direct):
Os 0.715 0.715 0.855
Os 0.039 0.039 0.884
Ba 0.454 0.454 0.617
K 0.292 0.292 0.144

Results
Energy of formation from the pure elements (eV per atom): 0.447
Total DFT energy (no corrections) (eV/atom): -5.923
Polymorph energy (0 for the lowest one) (meV per atom): 0.0

=====

Computed, not measured: crystalline AsOsSe3 at its relaxed geometry at the PBE-GGA level of DFT.

a b c (Å): 4.956 4.956 4.956
angles (deg): 90.00 90.00 90.00
Each line ends with the local moment (μB).
Positions (direct):
Se 0.000 0.000 0.500  0.11
Se 0.000 0.500 0.000  0.13
Se 0.500 0.000 0.000  0.06
As 0.000 0.000 0.000  0.01
Os 0.500 0.500 0.500  3.21

Results
Total DFT energy (no corrections) (eV/atom): -3.758
Polymorph energy (0 for the lowest one) (meV per atom): 737.3
Formation energy without anion corrections (kJ per mole of atoms): 145.6

=====

Computed, not measured: crystalline HoPuGeAu at its relaxed geometry at the PBE-GGA level of DFT.

a b c (Å): 5.097 5.097 5.097
angles (deg): 60.00 60.00 60.00
Each line ends with the local moment (μB).
Positions (direct):
Ho 0.000 0.000 0.000  0.28
Au 0.750 0.750 0.750  0.06
Pu 0.500 0.500 0.500  5.41
Ge 0.250 0.250 0.250  -0.05

Results
Energy of formation from the pure elements (eV per atom): -0.574
Total DFT energy (no corrections) (eV/atom): -7.275

=====

Computed, not measured: crystalline Al4Ir5 at its relaxed geometry at the PBE-GGA level of DFT.

a b c (Å): 7.425 7.425 5.412
angles (deg): 90.00 90.00 120.00
Positions (direct):
Al 0.633 0.633 0.250
Al 0.000 0.000 0.500
Al 0.000 0.367 0.250
Al 0.633 0.000 0.750
Al 0.000 0.000 0.000
Al 0.367 0.367 0.750
Al 0.367 0.000 0.250
Al 0.000 0.633 0.750
Ir 0.698 0.698 0.750
Ir 0.302 0.302 0.250
Ir 0.698 0.000 0.250
Ir 0.333 0.667 0.500
Ir 0.333 0.667 0.000
Ir 0.000 0.698 0.250
Ir 0.000 0.302 0.750
Ir 0.667 0.333 0.500
Ir 0.667 0.333 0.000
Ir 0.302 0.000 0.750

Results
Energy of formation from the pure elements (eV per atom): -0.536
Total DFT energy (no corrections) (eV/atom): -7.122
Polymorph energy (0 for the lowest one) (meV per atom): 0.0

=====

Computed, not measured: crystalline RuW2Br at its relaxed geometry at the PBE-GGA level of DFT.

a b c (Å): 5.808 5.808 6.791
angles (deg): 64.68 64.68 90.00
Positions (direct):
W 0.109 0.625 0.250
W 0.875 0.891 0.750
W 0.641 0.125 0.250
W 0.375 0.359 0.750
Br 0.500 0.500 0.000
Br 0.250 0.750 0.500
Ru 0.000 0.000 0.000
Ru 0.750 0.250 0.500

Results
Total DFT energy (no corrections) (eV/atom): -7.669
Polymorph energy (0 for the lowest one) (meV per atom): 1054.5
Formation energy without anion corrections (kJ per mole of atoms): 149.0

=====

Computed, not measured: crystalline CaEr2 at its relaxed geometry at the PBE-GGA level of DFT.

a b c (Å): 3.605 3.605 8.139
angles (deg): 102.80 102.80 90.00
Positions (direct):
Er 0.323 0.323 0.646
Er 0.677 0.677 0.354
Ca 0.000 0.000 0.000

Results
Energy of formation from the pure elements (eV per atom): 0.081
Total DFT energy (no corrections) (eV/atom): -3.628
Polymorph energy (0 for the lowest one) (meV per atom): 0.0

=====

Computed, not measured: crystalline PmPr5Er at its relaxed geometry at the PBE-GGA level of DFT.

a b c (Å): 5.961 8.111 8.111
angles (deg): 66.15 68.51 68.51
Positions (direct):
Pr 0.500 0.000 0.000
Pr 0.000 0.324 0.676
Pr 0.000 0.676 0.324
Pr 0.751 0.249 0.249
Pr 0.249 0.751 0.751
Er 0.500 0.500 0.500
Pm 0.000 0.000 0.000

Results
Energy of formation from the pure elements (eV per atom): 0.941
Total DFT energy (no corrections) (eV/atom): -3.803